Cs2KFe2F7 | PBE with a Hubbard U | optimized geometry Values from VASP.

Structure (Quantum ESPRESSO input):
```
&SYSTEM
  ibrav = 0, nat = 12, ntyp = 4
/
ATOMIC_SPECIES
Cs 132.91 Cs.upf
K 39.10 K.upf
Fe 55.84 Fe.upf
F 19.00 F.upf
CELL_PARAMETERS angstrom
-2.165 2.165 11.434
2.165 -2.165 11.434
2.165 2.165 -11.434
ATOMIC_POSITIONS angstrom
Cs 0.000 0.000 4.155
Cs 0.000 0.000 18.714
K 0.000 0.000 0.000
Fe 0.000 0.000 9.395
Fe 0.000 0.000 13.474
F 2.165 0.000 1.986
F 0.000 0.000 7.353
F 2.165 0.000 9.448
F 0.000 0.000 11.434
F 0.000 2.165 1.986
F 0.000 0.000 15.515
F 0.000 2.165 9.448
```

Values from the calculation:
The total energy is -58.87 eV/cell. Its symmetry is I4/mmm, No. 139. Its crystal system is tetragonal.